1.
{"formula": "AcNd5Ho2Er", "functional": "PBE", "state": "optimized geometry", "sg": "No. 36", "dos_ef_per_ev_fu": 13.66, "crystal_system": "orthorhombic", "volume_a3_per_atom": 34.8, "formation_energy_mev_per_atom": 81, "lattice": [[-5.708, -1.156, -0.202], [2.562, 0.485, 8.884], [-2.428, 11.979, 0.046]], "species": ["Ac", "Ac", "Nd", "Nd", "Nd", "Nd", "Nd", "Nd", "Nd", "Nd", "Nd", "Nd", "Ho", "Ho", "Ho", "Ho", "Er", "Er"], "frac_coords": [[0.616, 0.232, 0.923], [0.384, 0.768, 0.423], [0.420, 0.841, 0.088], [0.768, 0.536, 0.719], [0.423, 0.845, 0.767], [0.232, 0.463, 0.630], [0.939, 0.878, 0.571], [0.580, 0.159, 0.588], [0.232, 0.464, 0.219], [0.577, 0.155, 0.267], [0.768, 0.537, 0.130], [0.061, 0.122, 0.071], [0.886, 0.773, 0.924], [0.062, 0.124, 0.778], [0.114, 0.227, 0.424], [0.938, 0.876, 0.278], [0.747, 0.495, 0.424], [0.253, 0.505, 0.924]]}



2.
{"formula": "LaTlHgF6", "functional": "PBE", "state": "optimized geometry", "sg": "No. 163", "dos_ef_per_ev_fu": 0.00, "crystal_system": "trigonal", "volume_a3_per_atom": 21.3, "formation_energy_uncorrected_kj_per_mol_fu": -2310.0, "lattice": [[6.476, 0.000, 0.000], [-3.238, 5.608, 0.000], [0.000, 0.000, 10.575]], "species": ["La", "La", "Tl", "Tl", "Hg", "Hg", "F", "F", "F", "F", "F", "F", "F", "F", "F", "F", "F", "F"], "frac_coords": [[0.333, 0.667, 0.250], [0.667, 0.333, 0.750], [0.000, 0.000, 0.000], [0.000, 0.000, 0.500], [0.667, 0.333, 0.250], [0.333, 0.667, 0.750], [0.630, 0.631, 0.141], [0.001, 0.370, 0.141], [0.370, 0.001, 0.641], [0.999, 0.630, 0.859], [0.369, 0.370, 0.359], [0.001, 0.631, 0.359], [0.631, 0.001, 0.859], [0.630, 0.999, 0.359], [0.999, 0.369, 0.641], [0.369, 0.999, 0.141], [0.631, 0.630, 0.641], [0.370, 0.369, 0.859]]}



The records above give, respectively, final energy values of -4.5484 -4.7517 eV/atom.